Below is Cs2I3Cl2 after structural relaxation, with properties calculated at the GGA-PBE level.

Calculated values
As for the mass density: 3.352 g/cm³. The calculation puts the uncorrected formation energy at -1.032 eV per atom.

Cell lengths 5.1466, 4.9917, 13.8337 Å; angles 90.00, 90.14, 90.00 degrees
With the nearest neighbours (Å) after each atom.
Fractional coordinates of all 7 atoms:
Cs (0.2316, 0.0000, 0.2905)  4 Cl 3.57-3.60
Cs (0.7684, 0.0000, 0.7095)  4 Cl 3.57-3.60
I (0.1027, 0.5000, 0.9036)  1 I 2.87, 1 Cl 2.93
I (0.5000, 0.5000, 0.5000)  2 Cl 3.02
I (0.8973, 0.5000, 0.0964)  1 I 2.87, 1 Cl 2.93
Cl (0.2732, 0.5000, 0.7015)  2 I 2.93-3.02
Cl (0.7268, 0.5000, 0.2985)  2 I 2.93-3.02


Below is CsI4Cl12 after structural relaxation, with properties calculated at the GGA-PBE level.

Calculated values
As for the mass density: 2.726 g/cm³. The calculation puts the uncorrected formation energy at -0.299 eV per atom.

Cell lengths 9.4482, 9.4482, 9.4482 Å; angles 109.47, 109.47, 109.47 degrees
With the nearest neighbours (Å) after each atom.
Fractional coordinates of all 17 atoms:
Cs (0.0000, 0.0000, 0.0000)  12 Cl 3.83
I (0.0000, 0.0000, 0.5000)  6 Cl 2.73
I (0.0000, 0.5000, 0.0000)  6 Cl 2.73
I (0.5000, 0.0000, 0.0000)  6 Cl 2.73
I (0.5000, 0.5000, 0.5000)  6 Cl 2.73
Cl (0.0000, 0.2481, 0.7519)  2 I 2.73
Cl (0.0000, 0.7519, 0.2481)  2 I 2.73
Cl (0.2481, 0.0000, 0.7519)  2 I 2.73
Cl (0.2481, 0.2481, 0.4961)  2 I 2.73
Cl (0.2481, 0.4961, 0.2481)  2 I 2.73
Cl (0.2481, 0.7519, 0.0000)  2 I 2.73
Cl (0.4961, 0.2481, 0.2481)  2 I 2.73
Cl (0.5039, 0.7519, 0.7519)  2 I 2.73
Cl (0.7519, 0.0000, 0.2481)  2 I 2.73
Cl (0.7519, 0.2481, 0.0000)  2 I 2.73
Cl (0.7519, 0.5039, 0.7519)  2 I 2.73
Cl (0.7519, 0.7519, 0.5039)  2 I 2.73


Below is Cs2I2Cl after structural relaxation, with properties calculated at the GGA-PBE level.

Calculated values
As for the mass density: 3.563 g/cm³. The calculation puts the uncorrected formation energy at -1.262 eV per atom. The energy above the most stable polymorph in this dataset is 0.000 eV/atom.

Cell lengths 10.2903, 10.2903, 10.8347 Å; angles 90.00, 90.00, 153.19 degrees
With the nearest neighbours (Å) after each atom.
Fractional coordinates of all 10 atoms:
Cs (0.9999, 0.0001, 0.0000)  4 Cl 3.58-3.85
Cs (0.0001, 0.9999, 0.5000)  4 Cl 3.58-3.85
Cs (0.1755, 0.8245, 0.7685)  2 Cl 3.58, 4 I 3.85-3.91
Cs (0.8245, 0.1755, 0.2685)  2 Cl 3.58, 4 I 3.85-3.91
I (0.1956, 0.8044, 0.4152)  1 I 3.26
I (0.3369, 0.6631, 0.5656)  1 I 3.26
I (0.6631, 0.3369, 0.0656)  1 I 3.26
I (0.8044, 0.1956, 0.9152)  1 I 3.26
Cl (0.4562, 0.5438, 0.2326)  6 Cs 3.58-3.85
Cl (0.5438, 0.4562, 0.7326)  6 Cs 3.58-3.85


Below is Cs3I2Cl after structural relaxation, with properties calculated at the GGA-PBE level.

Calculated values
As for the mass density: 3.208 g/cm³. The calculation puts the uncorrected formation energy at -1.621 eV per atom. The energy above the most stable polymorph in this dataset is 0.054 eV/atom.

Cell lengths 9.1434, 9.1434, 9.2036 Å; angles 90.00, 90.00, 67.75 degrees
With the nearest neighbours (Å) after each atom.
Fractional coordinates of all 12 atoms:
Cs (0.0886, 0.9114, 0.7500)  1 Cl 3.28
Cs (0.3407, 0.3407, 0.0000)  2 Cl 3.46
Cs (0.3407, 0.3407, 0.5000)  2 Cl 3.46
Cs (0.6593, 0.6593, 0.0000)  2 Cl 3.46
Cs (0.6593, 0.6593, 0.5000)  2 Cl 3.46
Cs (0.9114, 0.0886, 0.2500)  1 Cl 3.28
I (0.0097, 0.6499, 0.2500)  5 Cs 3.76-4.00
I (0.3501, 0.9903, 0.2500)  5 Cs 3.76-4.00
I (0.6499, 0.0097, 0.7500)  5 Cs 3.76-4.00
I (0.9903, 0.3501, 0.7500)  5 Cs 3.76-4.00
Cl (0.4100, 0.5900, 0.7500)  5 Cs 3.28-3.46
Cl (0.5900, 0.4100, 0.2500)  5 Cs 3.28-3.46


Below is CsICl after structural relaxation, with properties calculated at the GGA-PBE level.

Calculated values
As for the mass density: 3.283 g/cm³. The calculation puts the uncorrected formation energy at -1.182 eV per atom. The energy above the most stable polymorph in this dataset is 0.143 eV/atom.

Cell lengths 12.1851, 12.1851, 12.1851 Å; angles 158.81, 152.79, 34.74 degrees
With the nearest neighbours (Å) after each atom.
Fractional coordinates of all 6 atoms:
Cs (0.1737, 0.1737, 0.0000)  5 Cl 3.39-3.64
Cs (0.8263, 0.8263, 0.0000)  5 Cl 3.39-3.64
I (0.2507, 0.5000, 0.7507)  2 I 2.86-2.87
I (0.7493, 0.5000, 0.2493)  2 I 2.86-2.87
Cl (0.3195, 0.3195, 0.0000)  5 Cs 3.39-3.64
Cl (0.6805, 0.6805, 0.0000)  5 Cs 3.39-3.64


Below is Cs2I7Cl after structural relaxation, with properties calculated at the GGA-PBE level.

Calculated values
As for the mass density: 3.882 g/cm³. The calculation puts the uncorrected formation energy at -0.583 eV per atom.

Cell lengths 8.9487, 8.9487, 8.9487 Å; angles 119.72, 119.72, 90.48 degrees
With the nearest neighbours (Å) after each atom.
Fractional coordinates of all 10 atoms:
Cs (0.2500, 0.7500, 0.5000)  12 I 4.48-4.52
Cs (0.7500, 0.2500, 0.5000)  12 I 4.48-4.52
I (0.0000, 0.0000, 0.0000)  4 I 2.95
I (0.2319, 0.2319, 0.4638)  1 I 2.95
I (0.2319, 0.7681, 0.0000)  1 I 2.95
I (0.2866, 0.2866, 0.0000)  1 Cl 2.69
I (0.7134, 0.7134, 0.0000)  1 Cl 2.69
I (0.7681, 0.2319, 0.0000)  1 I 2.95
I (0.7681, 0.7681, 0.5362)  1 I 2.95
Cl (0.5000, 0.5000, 0.0000)  2 I 2.69


Below is Cs4ICl2 after structural relaxation, with properties calculated at the GGA-PBE level.

Calculated values
As for the mass density: 2.958 g/cm³. The calculation puts the uncorrected formation energy at -1.540 eV per atom. The energy above the most stable polymorph in this dataset is 0.000 eV/atom.

Cell lengths 17.8470, 17.8470, 17.8470 Å; angles 16.70, 16.70, 16.70 degrees
With the nearest neighbours (Å) after each atom.
Fractional coordinates of all 7 atoms:
Cs (0.1215, 0.1215, 0.1215)  3 Cl 3.59
Cs (0.2872, 0.2872, 0.2872)  3 Cl 3.59, 3 I 3.86
Cs (0.7128, 0.7128, 0.7128)  3 Cl 3.59, 3 I 3.86
Cs (0.8785, 0.8785, 0.8785)  3 Cl 3.59
I (0.0000, 0.0000, 0.0000)  6 Cs 3.86
Cl (0.4172, 0.4172, 0.4172)  6 Cs 3.59
Cl (0.5828, 0.5828, 0.5828)  6 Cs 3.59


Below is Cs2I2Cl7 after structural relaxation, with properties calculated at the GGA-PBE level.

Calculated values
As for the mass density: 2.788 g/cm³. The calculation puts the uncorrected formation energy at -0.827 eV per atom.

Cell lengths 8.6800, 19.6013, 5.4102 Å; angles 90.00, 96.54, 90.00 degrees
With the nearest neighbours (Å) after each atom.
Fractional coordinates of all 22 atoms:
Cs (0.1261, 0.1266, 0.2072)  7 Cl 3.45-3.67
Cs (0.1261, 0.3734, 0.7072)  7 Cl 3.45-3.67
Cs (0.8739, 0.6266, 0.2928)  7 Cl 3.45-3.67
Cs (0.8739, 0.8734, 0.7928)  7 Cl 3.45-3.67
I (0.3631, 0.6132, 0.7933)  3 Cl 2.53-2.70
I (0.3631, 0.8868, 0.2933)  3 Cl 2.53-2.70
I (0.6369, 0.1132, 0.7067)  3 Cl 2.53-2.70
I (0.6369, 0.3868, 0.2067)  3 Cl 2.53-2.70
Cl (0.1050, 0.5551, 0.8270)  1 I 2.54
Cl (0.1050, 0.9449, 0.3270)  1 I 2.54
Cl (0.1179, 0.7479, 0.6146)  2 Cl 2.71
Cl (0.1179, 0.7521, 0.1146)  2 Cl 2.71
Cl (0.3771, 0.1678, 0.7466)  1 I 2.53
Cl (0.3771, 0.3322, 0.2466)  1 I 2.53
Cl (0.5000, 0.0000, 0.5000)  2 I 2.70
Cl (0.5000, 0.5000, 0.0000)  2 I 2.70
Cl (0.6229, 0.6678, 0.7534)  1 I 2.53
Cl (0.6229, 0.8322, 0.2534)  1 I 2.53
Cl (0.8821, 0.2479, 0.8854)  2 Cl 2.71
Cl (0.8821, 0.2521, 0.3854)  2 Cl 2.71
Cl (0.8950, 0.0551, 0.6730)  1 I 2.54
Cl (0.8950, 0.4449, 0.1730)  1 I 2.54


What is the mass density in the fourth record? 3.208 g/cm³


What is the mass density in the third record? 3.563 g/cm³


What did the eighth record say?
Below is Cs2I2Cl7 after structural relaxation, with properties calculated at the GGA-PBE level.

Calculated values
As for the mass density: 2.788 g/cm³. The calculation puts the uncorrected formation energy at -0.827 eV per atom.

Cell lengths 8.6800, 19.6013, 5.4102 Å; angles 90.00, 96.54, 90.00 degrees
With the nearest neighbours (Å) after each atom.
Fractional coordinates of all 22 atoms:
Cs (0.1261, 0.1266, 0.2072)  7 Cl 3.45-3.67
Cs (0.1261, 0.3734, 0.7072)  7 Cl 3.45-3.67
Cs (0.8739, 0.6266, 0.2928)  7 Cl 3.45-3.67
Cs (0.8739, 0.8734, 0.7928)  7 Cl 3.45-3.67
I (0.3631, 0.6132, 0.7933)  3 Cl 2.53-2.70
I (0.3631, 0.8868, 0.2933)  3 Cl 2.53-2.70
I (0.6369, 0.1132, 0.7067)  3 Cl 2.53-2.70
I (0.6369, 0.3868, 0.2067)  3 Cl 2.53-2.70
Cl (0.1050, 0.5551, 0.8270)  1 I 2.54
Cl (0.1050, 0.9449, 0.3270)  1 I 2.54
Cl (0.1179, 0.7479, 0.6146)  2 Cl 2.71
Cl (0.1179, 0.7521, 0.1146)  2 Cl 2.71
Cl (0.3771, 0.1678, 0.7466)  1 I 2.53
Cl (0.3771, 0.3322, 0.2466)  1 I 2.53
Cl (0.5000, 0.0000, 0.5000)  2 I 2.70
Cl (0.5000, 0.5000, 0.0000)  2 I 2.70
Cl (0.6229, 0.6678, 0.7534)  1 I 2.53
Cl (0.6229, 0.8322, 0.2534)  1 I 2.53
Cl (0.8821, 0.2479, 0.8854)  2 Cl 2.71
Cl (0.8821, 0.2521, 0.3854)  2 Cl 2.71
Cl (0.8950, 0.0551, 0.6730)  1 I 2.54
Cl (0.8950, 0.4449, 0.1730)  1 I 2.54